Material: NpRe3Si3
Method: DFT, PBE-GGA
State: optimized geometry

For the total magnetic moment, the calculation gives 5.0 μB/cell. The density of states at the Fermi level comes out at 2.036 states/eV/atom. As for the crystal system: cubic. As for the formation energy without anion corrections: 63.91 kJ/mol of atoms.

The space group is Pm-3n (No. 223) and the conventional cell measures 6.614, 6.614 and 6.614 Å, with angles of 90.00, 90.00 and 90.00 degrees. The distinct sites, in fractional coordinates, are Np at (0.000, 0.000, 0.000), Re at (0.000, 0.250, 0.500) and Si at (0.000, 0.500, 0.250).